--- w ---
MgOs2C: optimized geometry, PBE.

Cell and atoms, written as CIF:
```
data_MgOs2C
_cell_length_a 4.776
_cell_length_b 4.776
_cell_length_c 7.245
_cell_angle_alpha 70.75
_cell_angle_beta 70.75
_cell_angle_gamma 90.00
_symmetry_space_group_name_H-M 'P 1'
_symmetry_Int_Tables_number 1
loop_
_symmetry_equiv_pos_as_xyz
'x,y,z'
loop_
_atom_site_label
_atom_site_fract_x
_atom_site_fract_y
_atom_site_fract_z
Os1 0.875 0.682 0.750
Os2 0.432 0.125 0.250
Os3 0.375 0.568 0.750
Os4 0.318 0.625 0.250
C1 0.500 0.500 0.000
C2 0.250 0.750 0.500
Mg1 0.750 0.250 0.500
Mg2 0.000 0.000 0.000
```

The density of states at the Fermi level is 0.73 states/eV per atom. Its space group is I-42d, No. 122.

---

--- x ---
MgOs2C: optimized geometry, PBE.

Cell and atoms, written as CIF:
```
data_MgOs2C
_cell_length_a 4.133
_cell_length_b 4.133
_cell_length_c 4.133
_cell_angle_alpha 60.00
_cell_angle_beta 60.00
_cell_angle_gamma 60.00
_symmetry_space_group_name_H-M 'P 1'
_symmetry_Int_Tables_number 1
loop_
_symmetry_equiv_pos_as_xyz
'x,y,z'
loop_
_atom_site_label
_atom_site_fract_x
_atom_site_fract_y
_atom_site_fract_z
Os1 0.250 0.250 0.250
Os2 0.750 0.750 0.750
Mg1 0.500 0.500 0.500
C1 0.000 0.000 0.000
```

The density of states at the Fermi level is 0.90 states/eV per atom. Its space group is Fm-3m, No. 225.

---

What should be chosen as the least stable of them? Choose x.